The following is a GGA-PBE calculation of crystalline ScTlPdSe3 at its relaxed geometry, from OQMD via LeMat-Bulk.

Summary:
**Distance to the lowest polymorph of the same formula**: 0.002 eV per atom
**Calculated volume**: 25.6 Å³/atom
**Total magnetic moment**: 0.00 μB/atom

abc: 8.254 3.886 10.383
angles: 90.00 112.81 90.00
Positions (direct):
1 Pd 0.594 0.750 0.115
2 Pd 0.406 0.250 0.885
3 Sc 0.813 0.250 0.356
4 Sc 0.187 0.750 0.644
5 Se 0.733 0.250 0.051
6 Se 0.580 0.750 0.354
7 Se 0.052 0.750 0.366
8 Se 0.948 0.250 0.634
9 Se 0.420 0.250 0.646
10 Se 0.267 0.750 0.949
11 Tl 0.244 0.250 0.218
12 Tl 0.756 0.750 0.782